No. 1
VASP calculation (PBE-GGA) on crystalline BaHgP2 at its relaxed geometry.

Calculated values
Energy of formation from the pure elements = -0.14 eV per atom
Total magnetization = 0.00 μB per formula unit

Cell: 3.6083 3.6083 7.5029 Å, 90.00 90.00 90.00°
Space group P4mm (No. 99)
Unique sites:
Ba (0.0000, 0.0000, 0.0000) (multiplicity 1)
Hg (0.5000, 0.5000, 0.3246) (multiplicity 1)
P (0.0000, 0.0000, 0.6029) (multiplicity 1)
P (0.5000, 0.5000, 0.6891) (multiplicity 1)

---

No. 2
VASP calculation (PBE-GGA) on crystalline Ba2HgPPd at its relaxed geometry.

Calculated values
Energy of formation from the pure elements = -0.62 eV per atom
Total magnetization = 0.00 μB per formula unit

Cell: 6.2241 6.2241 4.5122 Å, 90.00 90.00 90.00°
Space group P4/mmm (No. 123)
Unique sites:
Ba (0.0000, 0.5000, 0.0000) (multiplicity 2)
Hg (0.0000, 0.0000, 0.5000) (multiplicity 1)
P (0.5000, 0.5000, 0.0000) (multiplicity 1)
Pd (0.5000, 0.5000, 0.5000) (multiplicity 1)

---

No. 3
VASP calculation (PBE-GGA) on crystalline Ba2HgPPd6 at its relaxed geometry.

Calculated values
Energy of formation from the pure elements = -0.54 eV per atom
Total magnetization = 0.00 μB per formula unit

Cell: 6.3180 6.3180 38.8556 Å, 90.00 90.00 120.00°
Space group R-3m (No. 166, hexagonal axes)
Unique sites:
Ba (0.0000, 0.0000, 0.1123) (multiplicity 6)
Ba (0.0000, 0.0000, 0.2800) (multiplicity 6)
Hg (0.0000, 0.0000, 0.4200) (multiplicity 6)
P (0.0000, 0.0000, 0.0000) (multiplicity 3)
P (0.0000, 0.0000, 0.5000) (multiplicity 3)
Pd (0.0386, 0.5193, 0.3056) (multiplicity 18)
Pd (0.0441, 0.5221, 0.8616) (multiplicity 18)

---

No. 4
VASP calculation (PBE-GGA) on crystalline Ba2HgPRh at its relaxed geometry.

Calculated values
Energy of formation from the pure elements = -0.55 eV per atom
Relative energy among the computed polymorphs = 33 meV/atom
Total magnetization = 0.00 μB per formula unit

Cell: 6.1401 6.1401 4.4769 Å, 90.00 90.00 90.00°
Space group P4/mmm (No. 123)
Unique sites:
Ba (0.0000, 0.5000, 0.0000) (multiplicity 2)
Hg (0.0000, 0.0000, 0.5000) (multiplicity 1)
P (0.5000, 0.5000, 0.5000) (multiplicity 1)
Rh (0.5000, 0.5000, 0.0000) (multiplicity 1)

---

No. 5
VASP calculation (PBE-GGA) on crystalline Ba2HgPRh at its relaxed geometry.

Calculated values
Energy of formation from the pure elements = -0.58 eV per atom
Relative energy among the computed polymorphs = 0 meV/atom
Total magnetization = 0.00 μB per formula unit

Cell: 6.2306 6.2306 4.3754 Å, 90.00 90.00 90.00°
Space group P4/mmm (No. 123)
Unique sites:
Ba (0.0000, 0.5000, 0.0000) (multiplicity 2)
Hg (0.0000, 0.0000, 0.5000) (multiplicity 1)
P (0.5000, 0.5000, 0.0000) (multiplicity 1)
Rh (0.5000, 0.5000, 0.5000) (multiplicity 1)

---

No. 6
VASP calculation (PBE-GGA) on crystalline BaHgPS2 at its relaxed geometry.

Calculated values
Relative energy among the computed polymorphs = 782 meV/atom
Total magnetization = 5.01 μB per formula unit

Cell: 6.0933 6.0933 6.8702 Å, 90.00 90.00 90.00°
Space group P4/mmm (No. 123)
Unique sites:
Ba (0.0000, 0.0000, 0.0000) (multiplicity 1)
Hg (0.5000, 0.5000, 0.5000) (multiplicity 1)
P (0.0000, 0.0000, 0.5000) (multiplicity 1)
S (0.0000, 0.5000, 0.0000) (multiplicity 2)